1.
Computed, not measured: a relaxed structure of LiErLu at the PBE-GGA level of DFT.

a = 3.402 Å, b = 3.402 Å, c = 8.242 Å
α = 90.00°, β = 90.00°, γ = 120.00°
Fractional coordinates of all 3 atoms:
Li1 0.000 0.000 0.000
Er1 0.333 0.667 0.666
Lu1 0.667 0.333 0.329

## Properties
The volume comes out at 27.540 A^3/atom. As for the total energy: -3.54 eV per atom. Its space-group type is P3m1.

2.
Computed, not measured: a relaxed structure of LiErLu2 at the PBE-GGA level of DFT.

a = 5.370 Å, b = 5.370 Å, c = 5.370 Å
α = 60.00°, β = 60.00°, γ = 60.00°
Fractional coordinates of all 4 atoms:
Li1 0.000 0.000 0.000
Er1 0.500 0.500 0.500
Lu1 0.250 0.250 0.250
Lu2 0.750 0.750 0.750

## Properties
The volume comes out at 27.368 A^3/atom. As for the total energy: -3.69 eV per atom. Its space-group type is Fm-3m.

3.
Computed, not measured: a relaxed structure of LiErLu2 at the PBE-GGA level of DFT.

a = 5.401 Å, b = 5.401 Å, c = 3.778 Å
α = 90.00°, β = 90.00°, γ = 90.00°
Fractional coordinates of all 4 atoms:
Li1 0.000 0.000 0.000
Er1 0.500 0.500 0.000
Lu1 0.000 0.500 0.500
Lu2 0.500 0.000 0.500

## Properties
The volume comes out at 27.554 A^3/atom. As for the total energy: -3.70 eV per atom. Its space-group type is P4/mmm.

4.
Computed, not measured: a relaxed structure of LiErLu2 at the PBE-GGA level of DFT.

a = 12.086 Å, b = 12.086 Å, c = 12.086 Å
α = 16.13°, β = 16.13°, γ = 16.13°
Fractional coordinates of all 4 atoms:
Li1 0.000 0.000 0.000
Er1 0.500 0.500 0.500
Lu1 0.089 0.089 0.089
Lu2 0.911 0.911 0.911

## Properties
The volume comes out at 29.682 A^3/atom. As for the total energy: -3.69 eV per atom. Its space-group type is R-3m.

5.
Computed, not measured: a relaxed structure of Li2ErLu at the PBE-GGA level of DFT.

a = 5.163 Å, b = 5.163 Å, c = 5.163 Å
α = 60.00°, β = 60.00°, γ = 60.00°
Fractional coordinates of all 4 atoms:
Li1 0.250 0.250 0.250
Li2 0.750 0.750 0.750
Er1 0.000 0.000 0.000
Lu1 0.500 0.500 0.500

## Properties
The volume comes out at 24.332 A^3/atom. As for the total energy: -3.07 eV per atom. Its space-group type is Fm-3m.

6.
Computed, not measured: a relaxed structure of LiErLuMg at the PBE-GGA level of DFT.

a = 5.255 Å, b = 5.255 Å, c = 5.255 Å
α = 60.00°, β = 60.00°, γ = 60.00°
Fractional coordinates of all 4 atoms:
Li1 0.000 0.000 0.000
Er1 0.750 0.750 0.750
Lu1 0.250 0.250 0.250
Mg1 0.500 0.500 0.500

## Properties
The volume comes out at 25.646 A^3/atom. As for the total energy: -3.08 eV per atom. Its space-group type is F-43m.

7.
Computed, not measured: a relaxed structure of LiErLuMo at the PBE-GGA level of DFT.

a = 4.958 Å, b = 4.958 Å, c = 4.958 Å
α = 60.00°, β = 60.00°, γ = 60.00°
Fractional coordinates of all 4 atoms:
Li1 0.000 0.000 0.000
Er1 0.750 0.750 0.750
Lu1 0.250 0.250 0.250
Mo1 0.500 0.500 0.500

## Properties
The volume comes out at 21.538 A^3/atom. As for the total energy: -5.22 eV per atom. Its space-group type is F-43m.

8.
Computed, not measured: a relaxed structure of LiErLuOs at the PBE-GGA level of DFT.

a = 4.825 Å, b = 4.825 Å, c = 4.825 Å
α = 60.00°, β = 60.00°, γ = 60.00°
Fractional coordinates of all 4 atoms:
Li1 0.000 0.000 0.000
Er1 0.250 0.250 0.250
Lu1 0.750 0.750 0.750
Os1 0.500 0.500 0.500

## Properties
The volume comes out at 19.857 A^3/atom. As for the total energy: -5.85 eV per atom. Its space-group type is F-43m.

9.
Computed, not measured: a relaxed structure of LiPrErLu at the PBE-GGA level of DFT.

a = 5.493 Å, b = 5.493 Å, c = 5.493 Å
α = 60.00°, β = 60.00°, γ = 60.00°
Fractional coordinates of all 4 atoms:
Li1 0.000 0.000 0.000
Pr1 0.750 0.750 0.750
Er1 0.250 0.250 0.250
Lu1 0.500 0.500 0.500

## Properties
The volume comes out at 29.295 A^3/atom. As for the total energy: -3.79 eV per atom. Its space-group type is F-43m.

10.
Computed, not measured: a relaxed structure of LiErLuPt at the PBE-GGA level of DFT.

a = 4.900 Å, b = 4.900 Å, c = 4.900 Å
α = 60.00°, β = 60.00°, γ = 60.00°
Fractional coordinates of all 4 atoms:
Li1 0.000 0.000 0.000
Er1 0.250 0.250 0.250
Lu1 0.750 0.750 0.750
Pt1 0.500 0.500 0.500

## Properties
The volume comes out at 20.793 A^3/atom. As for the total energy: -4.98 eV per atom. Its space-group type is F-43m.

11.
Computed, not measured: a relaxed structure of LiErLuSi at the PBE-GGA level of DFT.

a = 4.887 Å, b = 4.887 Å, c = 4.887 Å
α = 60.00°, β = 60.00°, γ = 60.00°
Fractional coordinates of all 4 atoms:
Li1 0.000 0.000 0.000
Er1 0.750 0.750 0.750
Lu1 0.250 0.250 0.250
Si1 0.500 0.500 0.500

## Properties
As for the uncorrected formation energy: -7.7 kcal/mol of atoms. The volume comes out at 20.626 A^3/atom. Its space-group type is F-43m.

12.
Computed, not measured: a relaxed structure of LiSmErLu at the PBE-GGA level of DFT.

a = 5.448 Å, b = 5.448 Å, c = 5.448 Å
α = 60.00°, β = 60.00°, γ = 60.00°
Fractional coordinates of all 4 atoms:
Li1 0.000 0.000 0.000
Sm1 0.250 0.250 0.250
Er1 0.750 0.750 0.750
Lu1 0.500 0.500 0.500

## Properties
The volume comes out at 28.585 A^3/atom. As for the total energy: -3.77 eV per atom. Its space-group type is F-43m.

In order of appearance, mass density = 7.02, 7.95, 7.90, 7.33, 6.08, 6.05, 8.58, 11.28, 6.94, 10.87, 7.59, 7.25 g cm⁻³.
In order of appearance, magnetic moment = 0.0, 0.0, 0.0, 0.0, 0.0, 0.4, 1.2, 0.0, 0.0, 0.0, 0.0, 0.0 μB per formula unit.